! Sr3GaAg (PBE-GGA, optimized geometry); values from VASP
! Density of states at the Fermi level   8.74 states/eV/cell
! Uncorrected energy   -2.4382 eV per atom
! Volume   363 Å³ per cell
! ΔE to the lowest computed polymorph   5 meV per atom
! Space group   P-1 (2)
! DFT formation energy   -254 meV per atom
&SYSTEM
  ibrav = 0, nat = 10, ntyp = 3
/
ATOMIC_SPECIES
Sr 87.62 Sr.upf
Ga 69.72 Ga.upf
Ag 107.87 Ag.upf
CELL_PARAMETERS angstrom
4.553 0.000 0.000
-2.256 8.686 0.000
-0.002 -0.132 9.188
ATOMIC_POSITIONS angstrom
Sr 0.000 1.010 2.887
Sr 0.008 3.898 6.297
Sr 0.010 6.876 0.617
Sr 2.285 1.678 8.571
Sr 2.287 4.656 2.891
Sr 2.295 7.544 6.301
Ga 0.011 3.715 0.583
Ga 2.284 4.839 8.606
Ag 0.015 7.245 3.942
Ag 2.280 1.308 5.246